# 1
The following is a DFT calculation (PBE) of an optimized crystal structure of KFeNi2.

Cell lengths 4.233, 4.233, 6.907 Å; angles 96.02, 96.02, 37.88 degrees
Fractional coordinates of all 4 atoms:
K1 0.000 0.000 0.000
Fe1 0.500 0.500 0.500
Ni1 0.228 0.228 0.635
Ni2 0.772 0.772 0.365

Values from the calculation:
E_tot = -4.761 eV/atom
calculated volume = 75.5 Å³/cell
excess energy over the best structure of this formula in the dataset = 79 meV/atom
formation enthalpy at 0 K = 0.520 eV/atom


# 2
The following is a DFT calculation (PBE) of an optimized crystal structure of HfSb2RhI.

Cell lengths 5.500, 5.500, 5.525 Å; angles 90.00, 90.00, 90.00 degrees
Fractional coordinates of all 5 atoms:
Hf1 0.000 0.000 0.000
Sb1 0.000 0.500 0.000
Sb2 0.500 0.000 0.000
Rh1 0.500 0.500 0.500
I1 0.000 0.000 0.500

Values from the calculation:
E_tot = -4.588 eV/atom
calculated volume = 167.1 Å³/cell
energy relative to the elements, uncorrected = 80 kJ/mol of atoms
excess energy over the best structure of this formula in the dataset = 252 meV/atom